Material: AcNpZn2O8
Method: DFT, GGA-PBE
State: relaxed

Structure (POSCAR):
```
AcNpZn2O8
1.0
-3.4656 3.4656 3.5978
3.4656 -3.4656 3.5978
3.4656 3.4656 -3.5978
Ac Np Zn O
1 1 2 8
direct
0.0000 0.0000 0.0000
0.2500 0.7500 0.5000
0.5000 0.5000 0.0000
0.7500 0.2500 0.5000
0.3062 0.0961 0.7899
0.3062 0.5163 0.2101
0.3733 0.0345 0.3388
0.4837 0.6938 0.7899
0.6957 0.0345 0.6612
0.9039 0.6938 0.2101
0.9655 0.3043 0.3388
0.9655 0.6267 0.6612
```

Properties
formation energy (no corrections) = -1.889 eV per atom
energy = -6.828 eV/atom
N(E_F) = 2.2 states/eV/cell
space-group type = No. 119